# 1
Material: HgIrW
Method: DFT, GGA-PBE
State: optimized geometry

a = 4.395 Å, b = 4.395 Å, c = 4.395 Å
α = 60.00°, β = 60.00°, γ = 60.00°
Fractional positions:
Hg 0.000 0.000 0.000
Ir 0.500 0.500 0.500
W 0.250 0.250 0.250

* DOS(E_F): 4.43 states/eV per cell
* total magnetization: 0.506 Bohr magnetons per cell
* E above lowest polymorph: 674 meV/atom



# 2
Material: Rb2In3Pb2
Method: DFT, GGA-PBE
State: optimized geometry

a = 7.284 Å, b = 7.284 Å, c = 8.133 Å
α = 116.53°, β = 116.53°, γ = 41.22°
Fractional positions:
Rb 0.153 0.153 0.293
Rb 0.847 0.847 0.707
In 0.419 0.419 0.079
In 0.500 0.500 0.500
In 0.581 0.581 0.921
Pb 0.158 0.158 0.788
Pb 0.842 0.842 0.212

* DOS(E_F): 3.08 states/eV per cell
* total magnetization: 0.000 Bohr magnetons per cell
* electronic total energy: -0.09612 Ha/atom



# 3
Material: K2BaHg2Se4
Method: DFT, GGA-PBE
State: optimized geometry

a = 8.896 Å, b = 8.896 Å, c = 8.128 Å
α = 108.12°, β = 108.12°, γ = 29.33°
Fractional positions:
K 0.127 0.127 0.060
K 0.873 0.873 0.940
Ba 0.000 0.000 0.500
Hg 0.332 0.332 0.509
Hg 0.668 0.668 0.491
Se 0.210 0.210 0.699
Se 0.471 0.471 0.766
Se 0.529 0.529 0.234
Se 0.790 0.790 0.301

* total magnetization: 0.000 Bohr magnetons per cell
* formation energy without anion corrections: -8.68 eV per formula unit



# 4
Material: GdDyLuSn
Method: DFT, GGA-PBE
State: optimized geometry

a = 5.390 Å, b = 5.390 Å, c = 5.390 Å
α = 60.00°, β = 60.00°, γ = 60.00°
Fractional positions:
Gd 0.000 0.000 0.000
Dy 0.500 0.500 0.500
Lu 0.750 0.750 0.750
Sn 0.250 0.250 0.250

* DOS(E_F): 4.16 states/eV per cell
* total magnetization: 7.989 Bohr magnetons per cell
* electronic total energy: -0.25934 Ha/atom



# 5
Material: Pd
Method: DFT, GGA-PBE
State: optimized geometry

a = 6.232 Å, b = 6.232 Å, c = 6.232 Å
α = 131.02°, β = 131.02°, γ = 71.79°
Fractional positions:
Pd 0.055 0.805 0.611
Pd 0.195 0.305 0.250
Pd 0.305 0.555 0.111
Pd 0.445 0.055 0.750
Pd 0.555 0.945 0.250
Pd 0.695 0.445 0.889
Pd 0.805 0.695 0.750
Pd 0.945 0.195 0.389

* DOS(E_F): 12.69 states/eV per cell
* total magnetization: 0.000 Bohr magnetons per cell
* E above lowest polymorph: 315 meV/atom



# 6
Material: ZnMoBr2
Method: DFT, GGA-PBE
State: optimized geometry

a = 6.979 Å, b = 6.979 Å, c = 6.979 Å
α = 153.65°, β = 139.15°, γ = 49.27°
Fractional positions:
Zn 0.000 0.000 0.000
Mo 0.829 0.329 0.500
Br 0.352 0.852 0.500
Br 0.666 0.666 0.000

* DOS(E_F): 1.73 states/eV per cell
* total magnetization: 1.654 Bohr magnetons per cell
* formation energy without anion corrections: 1.22 eV per formula unit
* E above lowest polymorph: 326 meV/atom



Which value of total magnetization does entry 3 give? 0.000 Bohr magnetons per cell